Record 1
A plane-wave DFT calculation with PBE-GGA was carried out for crystalline Ce5Ga2Sn at its relaxed geometry.

Its crystal system is tetragonal. The volume is 214.81 Å³/f.u. The theoretical density comes out at 7411 kg/m3. The calculation puts the formation energy at -39.7 kJ/mol of atoms.

The space group is I4/mcm (No. 140) and the conventional cell measures 8.195, 8.195 and 12.793 Å, with angles of 90.00, 90.00 and 90.00 degrees. The asymmetric unit holds Ce at (0.000, 0.000, 0.000), Ce at (0.175, 0.325, 0.155), Ga at (0.121, 0.379, 0.500) and Sn at (0.000, 0.000, 0.250).



Record 2
A plane-wave DFT calculation with PBE-GGA was carried out for crystalline Ce6GaSn2 at its relaxed geometry.

Its crystal system is hexagonal. The volume is 219.61 Å³/f.u. Its offset from the most stable computed form is 0 meV per atom. The theoretical density comes out at 8679 kg/m3. The calculation puts the formation energy at -31.3 kJ/mol of atoms.

The space group is P6/mmm (No. 191) and the conventional cell measures 8.9831, 8.9831 and 3.1425 Å, with angles of 90.00, 90.00 and 120.00 degrees. The asymmetric unit holds Ce at (0.0000, 0.3192, 0.0000), Ga at (0.0000, 0.0000, 0.5000) and Sn at (0.3333, 0.6667, 0.5000).



Record 3
A plane-wave DFT calculation with PBE-GGA was carried out for crystalline CeGa2Sn2 at its relaxed geometry.

Its crystal system is orthorhombic. The volume is 116.26 Å³/f.u. The theoretical density comes out at 7384 kg/m3. The calculation puts the formation energy at -36.0 kJ/mol of atoms.

The space group is Cmcm (No. 63) and the conventional cell measures 4.660, 21.643 and 4.611 Å, with angles of 90.00, 90.00 and 90.00 degrees. The asymmetric unit holds Ce at (0.000, 0.135, 0.250), Ga at (0.000, 0.030, 0.750), Ga at (0.000, 0.462, 0.750), Sn at (0.000, 0.249, 0.750) and Sn at (0.000, 0.373, 0.250).



Record 4
A plane-wave DFT calculation with PBE-GGA was carried out for crystalline Ce2GaSn at its relaxed geometry.

Its crystal system is orthorhombic. The volume is 103.11 Å³/f.u. The theoretical density comes out at 7548 kg/m3. The calculation puts the formation energy at -48.9 kJ/mol of atoms.

The space group is Cmmm (No. 65) and the conventional cell measures 6.266, 8.125 and 4.051 Å, with angles of 90.00, 90.00 and 90.00 degrees. The asymmetric unit holds Ce at (0.250, 0.250, 0.000), Ga at (0.000, 0.000, 0.500) and Sn at (0.000, 0.500, 0.500).



Record 5
A plane-wave DFT calculation with PBE-GGA was carried out for crystalline Ce2GaSn at its relaxed geometry.

Its crystal system is monoclinic. The volume is 111.36 Å³/f.u. The theoretical density comes out at 6989 kg/m3. The calculation puts the formation energy at -51.2 kJ/mol of atoms.

The space group is P2_1/m (No. 11) and the conventional cell measures 6.220, 4.250 and 8.903 Å, with angles of 90.00, 108.87 and 90.00 degrees. The asymmetric unit holds Ce at (0.198, 0.250, 0.422), Ce at (0.270, 0.750, 0.064), Ga at (0.136, 0.250, 0.790) and Sn at (0.372, 0.750, 0.713).



Record 6
A plane-wave DFT calculation with PBE-GGA was carried out for crystalline Ce5Ga2Sn2 at its relaxed geometry.

Its crystal system is orthorhombic. The volume is 254.02 Å³/f.u. The theoretical density comes out at 7043 kg/m3. The calculation puts the formation energy at -45.1 kJ/mol of atoms.

The space group is Cmce (No. 64) and the conventional cell measures 15.534, 8.093 and 8.082 Å, with angles of 90.00, 90.00 and 90.00 degrees. The asymmetric unit holds Ce at (0.000, 0.000, 0.000), Ce at (0.132, 0.187, 0.317), Ga at (0.000, 0.113, 0.615) and Sn at (0.216, 0.000, 0.000).



Record 7
A plane-wave DFT calculation with PBE-GGA was carried out for crystalline Ce5GaSn3 at its relaxed geometry.

Its crystal system is hexagonal. The volume is 251.78 Å³/f.u. The theoretical density comes out at 7429 kg/m3. The calculation puts the formation energy at -56.5 kJ/mol of atoms.

The space group is P6_3/mcm (No. 193) and the conventional cell measures 9.4957, 9.4957 and 6.4487 Å, with angles of 90.00, 90.00 and 120.00 degrees. The asymmetric unit holds Ce at (0.0000, 0.2710, 0.2500), Ce at (0.3333, 0.6667, 0.0000), Ga at (0.0000, 0.0000, 0.0000) and Sn at (0.0000, 0.3768, 0.7500).



Record 8
A plane-wave DFT calculation with PBE-GGA was carried out for crystalline Ce6Ga3Sn at its relaxed geometry.

Its crystal system is monoclinic. The volume is 263.91 Å³/f.u. The theoretical density comes out at 7353 kg/m3. The calculation puts the formation energy at -23.9 kJ/mol of atoms.

The space group is P2_1/c (No. 14) and the conventional cell measures 7.989, 7.854 and 11.210 Å, with angles of 90.00, 131.37 and 90.00 degrees. The asymmetric unit holds Ce at (0.044, 0.124, 0.256), Ce at (0.200, 0.149, 0.083), Ce at (0.410, 0.653, 0.106), Ga at (0.000, 0.000, 0.500), Ga at (0.323, 0.670, 0.795) and Sn at (0.500, 0.000, 0.000).



Record 9
A plane-wave DFT calculation with PBE-GGA was carried out for crystalline Ce2Ga3Sn at its relaxed geometry.

Its crystal system is orthorhombic. The volume is 142.22 Å³/f.u. The theoretical density comes out at 7100 kg/m3. The calculation puts the formation energy at -52.7 kJ/mol of atoms.

The space group is Pmm2 (No. 25) and the conventional cell measures 4.247, 4.381 and 7.642 Å, with angles of 90.00, 90.00 and 90.00 degrees. The asymmetric unit holds Ce at (0.000, 0.000, 0.000), Ce at (0.000, 0.500, 0.484), Ga at (0.500, 0.000, 0.319), Ga at (0.500, 0.000, 0.639), Ga at (0.500, 0.500, 0.172) and Sn at (0.500, 0.500, 0.827).



Record 10
A plane-wave DFT calculation with PBE-GGA was carried out for crystalline Ce2Ga3Sn3 at its relaxed geometry.

Its crystal system is orthorhombic. The volume is 186.52 Å³/f.u. The theoretical density comes out at 7527 kg/m3. The calculation puts the formation energy at -51.2 kJ/mol of atoms.

The space group is Pmmm (No. 47) and the conventional cell measures 4.530, 4.613 and 8.926 Å, with angles of 90.00, 90.00 and 90.00 degrees. The asymmetric unit holds Ce at (0.000, 0.000, 0.245), Ga at (0.000, 0.500, 0.000), Ga at (0.500, 0.000, 0.000), Ga at (0.500, 0.000, 0.500), Sn at (0.000, 0.500, 0.500) and Sn at (0.500, 0.500, 0.237).



Record 11
A plane-wave DFT calculation with PBE-GGA was carried out for crystalline Ce2Ga4Sn at its relaxed geometry.

Its crystal system is orthorhombic. The volume is 156.50 Å³/f.u. The theoretical density comes out at 7192 kg/m3. The calculation puts the formation energy at -30.4 kJ/mol of atoms.

The space group is Fmmm (No. 69) and the conventional cell measures 5.857, 10.248 and 10.430 Å, with angles of 90.00, 90.00 and 90.00 degrees. The asymmetric unit holds Ce at (0.000, 0.135, 0.000), Ga at (0.250, 0.000, 0.250), Ga at (0.250, 0.250, 0.250) and Sn at (0.000, 0.000, 0.500).



Record 12
A plane-wave DFT calculation with PBE-GGA was carried out for crystalline Ce6GaSn at its relaxed geometry.

Its crystal system is orthorhombic. The volume is 210.90 Å³/f.u. Its offset from the most stable computed form is 34 meV per atom. The theoretical density comes out at 8103 kg/m3. The calculation puts the formation energy at -28.0 kJ/mol of atoms.

The space group is Amm2 (No. 38) and the conventional cell measures 5.327, 6.783 and 11.672 Å, with angles of 90.00, 90.00 and 90.00 degrees. The asymmetric unit holds Ce at (0.000, 0.000, 0.000), Ce at (0.000, 0.238, 0.216), Ce at (0.500, 0.000, 0.633), Ce at (0.500, 0.246, 0.408), Ga at (0.500, 0.000, 0.153) and Sn at (0.000, 0.000, 0.473).